(1)
PrNi4Bi12 | PBE-GGA | relaxed

Lattice parameters (Å, degrees): 8.440 8.440 8.440 109.47 109.47 109.47
Sites, in units of the cell vectors:
1 Bi 0.836 0.329 0.165
2 Bi 0.165 0.836 0.329
3 Bi 0.164 0.671 0.835
4 Ni 0.500 0.500 0.500
5 Pr 0.000 0.000 0.000
6 Bi 0.493 0.164 0.329
7 Bi 0.164 0.329 0.493
8 Bi 0.671 0.507 0.836
9 Ni 0.000 0.000 0.500
10 Bi 0.835 0.164 0.671
11 Bi 0.836 0.671 0.507
12 Ni 0.500 0.000 0.000
13 Bi 0.507 0.836 0.671
14 Bi 0.329 0.165 0.836
15 Ni 0.000 0.500 0.000
16 Bi 0.671 0.835 0.164
17 Bi 0.329 0.493 0.164

Summary:
Calculated volume ... 27.22 A^3/atom
ΔE_f ... -10 kJ/mol of atoms
Spin magnetization ... 0.00 μB/f.u.
Fermi-level density of states ... 11.2 states/eV/cell

=====

(2)
SrLaN2 | PBE-GGA | relaxed

Lattice parameters (Å, degrees): 4.516 4.516 4.516 60.00 60.00 60.00
Sites, in units of the cell vectors:
1 Sr 0.000 0.000 0.000
2 N 0.250 0.250 0.250
3 La 0.500 0.500 0.500
4 N 0.750 0.750 0.750

Summary:
Energy relative to the elements, uncorrected ... -0.33 eV/atom
Calculated volume ... 16.28 A^3/atom
Spin magnetization ... 1.00 μB/f.u.
Fermi-level density of states ... 3.0 states/eV/cell

=====

(3)
NdThIr2 | PBE-GGA | relaxed

Lattice parameters (Å, degrees): 3.575 3.575 7.159 90.00 90.00 90.00
Sites, in units of the cell vectors:
1 Ir 0.000 0.000 0.770
2 Th 0.500 0.500 0.000
3 Ir 0.000 0.000 0.230
4 Nd 0.500 0.500 0.500

Summary:
Calculated volume ... 22.87 A^3/atom
ΔE_f ... -67 kJ/mol of atoms
Spin magnetization ... 0.00 μB/f.u.
Fermi-level density of states ... 1.3 states/eV/cell
Energy relative to the lowest polymorph listed for this composition ... 121 meV per atom

=====

(4)
Sr4Hg | PBE-GGA | relaxed

Lattice parameters (Å, degrees): 8.812 8.571 8.877 75.19 60.24 59.07
Sites, in units of the cell vectors:
1 Sr 0.226 0.725 0.823
2 Hg 0.755 0.000 0.000
3 Sr 0.705 0.750 0.344
4 Sr 0.720 0.733 0.828
5 Sr 0.295 0.250 0.656
6 Hg 0.245 0.000 0.000
7 Sr 0.280 0.267 0.172
8 Sr 0.798 0.250 0.656
9 Sr 0.202 0.750 0.344
10 Sr 0.774 0.275 0.177

Summary:
Calculated volume ... 49.93 A^3/atom
ΔE_f ... -16 kJ/mol of atoms
Spin magnetization ... 0.00 μB/f.u.
Fermi-level density of states ... 12.5 states/eV/cell
Energy relative to the lowest polymorph listed for this composition ... 0 meV per atom

=====

(5)
ReBr5 | PBE-GGA | relaxed

Lattice parameters (Å, degrees): 8.643 8.643 3.066 90.00 90.00 120.00
Sites, in units of the cell vectors:
1 Br 0.333 0.667 0.500
2 Br 0.230 0.230 0.000
3 Re 0.000 0.000 0.500
4 Br 0.770 0.000 0.000
5 Br 0.667 0.333 0.500
6 Br 0.000 0.770 0.000

Summary:
Energy relative to the elements, uncorrected ... 0.19 eV/atom
Calculated volume ... 33.06 A^3/atom
Spin magnetization ... 0.00 μB/f.u.
Fermi-level density of states ... 2.9 states/eV/cell
Energy relative to the lowest polymorph listed for this composition ... 242 meV per atom

=====

(6)
La8TcPt3Cl4 | PBE-GGA | relaxed

Lattice parameters (Å, degrees): 8.455 9.045 8.454 117.89 120.00 90.00
Sites, in units of the cell vectors:
1 La 0.770 0.291 0.021
2 La 0.735 0.705 0.470
3 Cl 0.000 0.000 0.500
4 La 0.251 0.291 0.021
5 Pt 0.500 0.500 0.000
6 Pt 0.500 0.500 0.500
7 Pt 0.000 0.500 0.500
8 Cl 0.500 0.000 0.500
9 La 0.230 0.709 0.460
10 Cl 0.000 0.000 0.000
11 La 0.265 0.295 0.530
12 Tc 0.000 0.500 0.000
13 La 0.770 0.291 0.540
14 Cl 0.500 0.000 0.000
15 La 0.230 0.709 0.979
16 La 0.749 0.709 0.979

Summary:
Energy relative to the elements, uncorrected ... -1.30 eV/atom
Calculated volume ... 29.45 A^3/atom
Spin magnetization ... 0.00 μB/f.u.
Fermi-level density of states ... 8.0 states/eV/cell

=====

(7)
PmTm3Pb3 | PBE-GGA | relaxed

Lattice parameters (Å, degrees): 9.381 9.381 9.381 90.00 90.00 90.00
Sites, in units of the cell vectors:
1 Tm 0.076 0.424 0.576
2 Pm 0.433 0.433 0.433
3 Tm 0.679 0.321 0.821
4 Tm 0.576 0.076 0.424
5 Tm 0.320 0.180 0.820
6 Tm 0.424 0.576 0.076
7 Tm 0.680 0.680 0.680
8 Pm 0.067 0.567 0.933
9 Tm 0.820 0.320 0.180
10 Pb 0.499 0.258 0.123
11 Tm 0.321 0.821 0.679
12 Pb 0.001 0.742 0.623
13 Pb 0.242 0.877 0.999
14 Pb 0.999 0.242 0.877
15 Pb 0.258 0.123 0.499
16 Pb 0.501 0.758 0.377
17 Tm 0.180 0.820 0.320
18 Pb 0.877 0.999 0.242
19 Pm 0.567 0.933 0.067
20 Pb 0.758 0.377 0.501
21 Pb 0.623 0.001 0.742
22 Tm 0.179 0.179 0.179
23 Pm 0.933 0.067 0.567
24 Pb 0.742 0.623 0.001
25 Pb 0.377 0.501 0.758
26 Tm 0.821 0.679 0.321
27 Tm 0.924 0.924 0.924
28 Pb 0.123 0.499 0.258

Summary:
Calculated volume ... 29.48 A^3/atom
ΔE_f ... -48 kJ/mol of atoms
Spin magnetization ... 0.00 μB/f.u.
Fermi-level density of states ... 5.8 states/eV/cell
Energy relative to the lowest polymorph listed for this composition ... 0 meV per atom

=====

(8)
V2Zn2Os | PBE-GGA | relaxed

Lattice parameters (Å, degrees): 6.605 6.605 3.145 90.00 90.00 90.00
Sites, in units of the cell vectors:
1 V 0.174 0.674 0.500
2 Os 0.500 0.500 0.000
3 Zn 0.127 0.373 0.000
4 V 0.674 0.826 0.500
5 V 0.326 0.174 0.500
6 V 0.826 0.326 0.500
7 Zn 0.373 0.873 0.000
8 Zn 0.873 0.627 0.000
9 Os 0.000 0.000 0.000
10 Zn 0.627 0.127 0.000

Summary:
Calculated volume ... 13.72 A^3/atom
ΔE_f ... 16 kJ/mol of atoms
Spin magnetization ... 0.00 μB/f.u.
Fermi-level density of states ... 4.7 states/eV/cell